12
Lattice="1.964 -7.255 0.000 1.964 7.255 0.000 0.000 0.000 11.470" Properties=species:S:1:pos:R:3 comment="TmGePbSe3 | the Open Quantum Materials Database | PBE-GGA | optimized geometry" rho_g_cm3=6.97 final_energy_ev_per_cell=-56.3 pbc="T T T"
Tm 0.000 0.000 0.000
Tm 0.000 0.000 5.735
Ge 1.964 1.924 8.602
Ge 1.964 -1.924 2.867
Pb 1.964 2.597 2.867
Pb 1.964 -2.597 8.602
Se 1.964 7.196 8.602
Se 1.964 1.990 5.850
Se 1.964 1.990 11.355
Se 1.964 -1.990 0.115
Se 1.964 -1.990 5.620
Se 1.964 -7.196 2.867